[1]
DFT (PBE) results for crystalline Cd2CoAu at its relaxed geometry.

Structure (CIF):
```
data_Cd2CoAu
_cell_length_a 3.9954
_cell_length_b 3.9954
_cell_length_c 19.3368
_cell_angle_alpha 90.00
_cell_angle_beta 90.00
_cell_angle_gamma 90.00
_space_group_name_H-M_alt 'I -4 2 d'
_space_group_IT_number 122
_space_group_name_Hall 'I -4 2bw'
loop_
_atom_site_label
_atom_site_fract_x
_atom_site_fract_y
_atom_site_fract_z
Cd1 0.2413 0.2500 0.1250
Co1 0.0000 0.0000 0.0000
Au1 0.0000 0.0000 0.5000
```

Calculated values
- Total moment: 5.182 μB/cell
- D(E_F): 0.55 states/eV per atom
- Formation energy from the elements: 0.38 eV per atom
- ΔE to the lowest computed polymorph: 1.02 eV per formula unit

[2]
DFT (PBE) results for crystalline Cd2CoAu at its relaxed geometry.

Structure (CIF):
```
data_Cd2CoAu
_cell_length_a 5.9054
_cell_length_b 7.9738
_cell_length_c 2.9935
_cell_angle_alpha 90.00
_cell_angle_beta 90.00
_cell_angle_gamma 90.00
_space_group_name_H-M_alt 'C m m m'
_space_group_IT_number 65
_space_group_name_Hall '-C 2 2'
loop_
_atom_site_label
_atom_site_fract_x
_atom_site_fract_y
_atom_site_fract_z
Cd1 0.2500 0.2500 0.0000
Co1 0.0000 0.0000 0.5000
Au1 0.0000 0.5000 0.5000
```

Calculated values
- Total moment: 2.627 μB/cell
- D(E_F): 0.64 states/eV per atom
- Formation energy from the elements: 0.16 eV per atom
- ΔE to the lowest computed polymorph: 0.12 eV per formula unit

[3]
DFT (PBE) results for crystalline CdCo2Au at its relaxed geometry.

Structure (CIF):
```
data_CdCo2Au
_cell_length_a 3.8482
_cell_length_b 3.8482
_cell_length_c 18.7843
_cell_angle_alpha 90.00
_cell_angle_beta 90.00
_cell_angle_gamma 90.00
_space_group_name_H-M_alt 'I -4 2 d'
_space_group_IT_number 122
_space_group_name_Hall 'I -4 2bw'
loop_
_atom_site_label
_atom_site_fract_x
_atom_site_fract_y
_atom_site_fract_z
Cd1 0.0000 0.0000 0.0000
Co1 0.1699 0.2500 0.6250
Au1 0.0000 0.0000 0.5000
```

Calculated values
- Total moment: 13.829 μB/cell
- D(E_F): 1.47 states/eV per atom
- Formation energy from the elements: 0.55 eV per atom

[4]
DFT (PBE) results for crystalline Cd2CoAu at its relaxed geometry.

Structure (CIF):
```
data_Cd2CoAu
_cell_length_a 2.9416
_cell_length_b 2.9416
_cell_length_c 28.9725
_cell_angle_alpha 90.00
_cell_angle_beta 90.00
_cell_angle_gamma 120.00
_space_group_name_H-M_alt 'R 3 m'
_space_group_IT_number 160
_space_group_name_Hall 'R 3 -2"'
loop_
_atom_site_label
_atom_site_fract_x
_atom_site_fract_y
_atom_site_fract_z
Cd1 0.0000 0.0000 0.0000
Cd2 0.0000 0.0000 0.2349
Co1 0.0000 0.0000 0.7422
Au1 0.0000 0.0000 0.4808
```

Calculated values
- Total moment: 5.169 μB/cell
- D(E_F): 0.74 states/eV per atom
- Formation energy from the elements: 0.21 eV per atom
- ΔE to the lowest computed polymorph: 0.32 eV per formula unit